# 1
The following is a PBE calculation of crystalline Zr3NiBi at its relaxed geometry, from the Alexandria database.

Cell: 5.359 5.359 5.359 Å, 90.00 90.00 90.00°
Space group Pm-3m (No. 221)
Inequivalent atoms, fractional coordinates:
Zr (0.000, 0.000, 0.500) x3
Ni (0.500, 0.500, 0.500) x1
Bi (0.000, 0.000, 0.000) x1

Values from the calculation:
E_form = 1450 meV per atom
N(E_F) = 7.096 states/eV/f.u.
Crystal system = cubic
Relative energy among the computed polymorphs = 8.99 eV/f.u.
Final energy = -5.61 eV per atom
Volume = 30.78 A^3/atom


# 2
The following is a PBE calculation of crystalline Zr3NiBi2 at its relaxed geometry, from the Alexandria database.

Cell: 11.991 4.044 11.045 Å, 90.00 90.00 90.00°
Space group Pnma (No. 62)
Inequivalent atoms, fractional coordinates:
Zr (0.073, 0.250, 0.096) x4
Zr (0.117, 0.750, 0.534) x4
Zr (0.233, 0.750, 0.240) x4
Ni (0.097, 0.250, 0.366) x4
Bi (0.018, 0.250, 0.717) x4
Bi (0.197, 0.750, 0.950) x4

Values from the calculation:
E_form = -311 meV per atom
N(E_F) = 4.306 states/eV/f.u.
Crystal system = orthorhombic
Final energy = -6.84 eV per atom
Volume = 22.32 A^3/atom


# 3
The following is a PBE calculation of crystalline ZrNiBi at its relaxed geometry, from the Alexandria database.

Cell: 3.364 20.278 3.999 Å, 90.00 90.00 90.00°
Space group Cmcm (No. 63)
Inequivalent atoms, fractional coordinates:
Zr (0.000, 0.071, 0.250) x4
Ni (0.000, 0.465, 0.250) x4
Bi (0.000, 0.329, 0.250) x4

Values from the calculation:
E_form = -389 meV per atom
N(E_F) = 2.219 states/eV/f.u.
Crystal system = orthorhombic
Final energy = -6.46 eV per atom
Volume = 22.73 A^3/atom


# 4
The following is a PBE calculation of crystalline ZrNi4Bi at its relaxed geometry, from the Alexandria database.

Cell: 7.052 7.052 7.052 Å, 90.00 90.00 90.00°
Space group F-43m (No. 216)
Inequivalent atoms, fractional coordinates:
Zr (0.000, 0.000, 0.000) x4
Ni (0.126, 0.126, 0.374) x16
Bi (0.250, 0.250, 0.750) x4

Values from the calculation:
E_form = -191 meV per atom
N(E_F) = 4.108 states/eV/f.u.
Crystal system = cubic
Final energy = -6.12 eV per atom
Volume = 14.61 A^3/atom


# 5
The following is a PBE calculation of crystalline Zr3NiBi at its relaxed geometry, from the Alexandria database.

Cell: 7.622 4.030 7.863 Å, 90.00 116.40 90.00°
Space group P2_1/m (No. 11)
Inequivalent atoms, fractional coordinates:
Zr (0.035, 0.250, 0.216) x2
Zr (0.323, 0.250, 0.913) x2
Zr (0.323, 0.750, 0.587) x2
Ni (0.076, 0.250, 0.579) x2
Bi (0.328, 0.750, 0.199) x2

Values from the calculation:
E_form = -348 meV per atom
N(E_F) = 4.226 states/eV/f.u.
Crystal system = monoclinic
Relative energy among the computed polymorphs = 0.00 eV/f.u.
Final energy = -7.41 eV per atom
Volume = 21.63 A^3/atom


# 6
The following is a PBE calculation of crystalline Zr2Ni2Bi at its relaxed geometry, from the Alexandria database.

Cell: 4.422 4.422 10.258 Å, 90.00 90.00 90.00°
Space group I4/mmm (No. 139)
Inequivalent atoms, fractional coordinates:
Zr (0.000, 0.500, 0.250) x4
Ni (0.000, 0.000, 0.112) x4
Bi (0.000, 0.000, 0.500) x2

Values from the calculation:
E_form = -160 meV per atom
N(E_F) = 6.249 states/eV/f.u.
Crystal system = tetragonal
Relative energy among the computed polymorphs = 1.17 eV/f.u.
Final energy = -6.67 eV per atom
Volume = 20.06 A^3/atom


# 7
The following is a PBE calculation of crystalline Np2Bi3 at its relaxed geometry, from the Alexandria database.

Cell: 4.7194 4.7194 8.6518 Å, 90.00 90.00 120.00°
Space group P-3m1 (No. 164)
Inequivalent atoms, fractional coordinates:
Np (0.3333, 0.6667, 0.3084) x2
Bi (0.0000, 0.0000, 0.5000) x1
Bi (0.3333, 0.6667, 0.8991) x2

Values from the calculation:
E_form = 284 meV per atom
N(E_F) = 23.078 states/eV/f.u.
Crystal system = trigonal
Final energy = -7.22 eV per atom
Volume = 33.38 A^3/atom


# 8
The following is a PBE calculation of crystalline NpBi4 at its relaxed geometry, from the Alexandria database.

Cell: 5.877 5.877 5.877 Å, 90.00 90.00 90.00°
Space group Pm-3m (No. 221)
Inequivalent atoms, fractional coordinates:
Np (0.000, 0.000, 0.000) x1
Bi (0.000, 0.000, 0.500) x3
Bi (0.500, 0.500, 0.500) x1

Values from the calculation:
E_form = 749 meV per atom
N(E_F) = 10.750 states/eV/f.u.
Crystal system = cubic
Final energy = -4.94 eV per atom
Volume = 40.60 A^3/atom


# 9
The following is a PBE calculation of crystalline NpBi2 at its relaxed geometry, from the Alexandria database.

Cell: 4.086 4.086 10.591 Å, 90.00 90.00 90.00°
Space group I4/mmm (No. 139)
Inequivalent atoms, fractional coordinates:
Np (0.000, 0.000, 0.000) x2
Bi (0.000, 0.000, 0.343) x4

Values from the calculation:
E_form = 102 meV per atom
N(E_F) = 8.449 states/eV/f.u.
Crystal system = tetragonal
Final energy = -6.80 eV per atom
Volume = 29.47 A^3/atom


# 10
The following is a PBE calculation of crystalline Np4Bi at its relaxed geometry, from the Alexandria database.

Cell: 5.879 5.879 5.879 Å, 90.00 90.00 90.00°
Space group Pm-3m (No. 221)
Inequivalent atoms, fractional coordinates:
Np (0.000, 0.000, 0.000) x1
Np (0.000, 0.500, 0.500) x3
Bi (0.500, 0.500, 0.500) x1

Values from the calculation:
E_form = 1794 meV per atom
N(E_F) = 33.444 states/eV/f.u.
Crystal system = cubic
Final energy = -9.33 eV per atom
Volume = 40.65 A^3/atom


# 11
The following is a PBE calculation of crystalline NpBi6 at its relaxed geometry, from the Alexandria database.

Cell: 8.786 8.786 8.786 Å, 90.00 90.00 90.00°
Space group Im-3m (No. 229)
Inequivalent atoms, fractional coordinates:
Np (0.000, 0.000, 0.000) x2
Bi (0.000, 0.250, 0.500) x12

Values from the calculation:
E_form = 718 meV per atom
N(E_F) = 14.723 states/eV/f.u.
Crystal system = cubic
Final energy = -4.46 eV per atom
Volume = 48.45 A^3/atom


# 12
The following is a PBE calculation of crystalline NpBi3 at its relaxed geometry, from the Alexandria database.

Cell: 4.641 4.641 11.085 Å, 90.00 90.00 90.00°
Space group I4/mmm (No. 139)
Inequivalent atoms, fractional coordinates:
Np (0.000, 0.000, 0.000) x2
Bi (0.000, 0.000, 0.500) x2
Bi (0.000, 0.500, 0.250) x4

Values from the calculation:
E_form = 17 meV per atom
N(E_F) = 11.789 states/eV/f.u.
Crystal system = tetragonal
Final energy = -6.13 eV per atom
Volume = 29.84 A^3/atom


# 13
The following is a PBE calculation of crystalline NpBi3 at its relaxed geometry, from the Alexandria database.

Cell: 3.336 11.001 6.548 Å, 90.00 90.00 90.00°
Space group Imm2 (No. 44)
Inequivalent atoms, fractional coordinates:
Np (0.000, 0.000, 0.000) x2
Bi (0.000, 0.272, 0.267) x4
Bi (0.000, 0.500, 0.960) x2

Values from the calculation:
E_form = 72 meV per atom
N(E_F) = 8.392 states/eV/f.u.
Crystal system = orthorhombic
Final energy = -6.07 eV per atom
Volume = 30.04 A^3/atom


# 14
The following is a PBE calculation of crystalline Np3Bi at its relaxed geometry, from the Alexandria database.

Cell: 4.581 4.581 9.672 Å, 90.00 90.00 90.00°
Space group I4/mmm (No. 139)
Inequivalent atoms, fractional coordinates:
Np (0.000, 0.000, 0.000) x2
Np (0.000, 0.500, 0.250) x4
Bi (0.000, 0.000, 0.500) x2

Values from the calculation:
E_form = 381 meV per atom
N(E_F) = 13.295 states/eV/f.u.
Crystal system = tetragonal
Final energy = -10.30 eV per atom
Volume = 25.37 A^3/atom


# 15
The following is a PBE calculation of crystalline NpBi2 at its relaxed geometry, from the Alexandria database.

Cell: 10.869 5.802 6.522 Å, 90.00 121.57 90.00°
Space group C2/m (No. 12)
Inequivalent atoms, fractional coordinates:
Np (0.159, 0.000, 0.186) x4
Bi (0.000, 0.500, 0.246) x4
Bi (0.169, 0.000, 0.696) x4

Values from the calculation:
E_form = 99 meV per atom
N(E_F) = 9.192 states/eV/f.u.
Crystal system = monoclinic
Final energy = -6.80 eV per atom
Volume = 29.20 A^3/atom


# 16
The following is a PBE calculation of crystalline Np6Bi at its relaxed geometry, from the Alexandria database.

Cell: 6.846 6.846 6.846 Å, 90.00 90.00 90.00°
Space group Im-3m (No. 229)
Inequivalent atoms, fractional coordinates:
Np (0.000, 0.250, 0.500) x12
Bi (0.000, 0.000, 0.000) x2

Values from the calculation:
E_form = 485 meV per atom
N(E_F) = 8.618 states/eV/f.u.
Crystal system = cubic
Final energy = -11.16 eV per atom
Volume = 22.91 A^3/atom


# 17
The following is a PBE calculation of crystalline Np2BiO6 at its relaxed geometry, from the Alexandria database.

Cell: 5.8703 5.8703 4.7823 Å, 90.00 90.00 120.00°
Space group P-31m (No. 162)
Inequivalent atoms, fractional coordinates:
Np (0.3333, 0.6667, 0.0000) x2
Bi (0.0000, 0.0000, 0.5000) x1
O (0.0000, 0.3497, 0.2263) x6

Values from the calculation:
Uncorrected formation energy = -2.421 eV per atom
N(E_F) = 13.489 states/eV/f.u.
Crystal system = trigonal
Final energy = -9.03 eV per atom
Volume = 15.86 A^3/atom


# 18
The following is a PBE calculation of crystalline NpBi3O6 at its relaxed geometry, from the Alexandria database.

Cell: 10.3668 10.3668 11.3677 Å, 90.00 90.00 120.00°
Space group R-3 (No. 148, hexagonal axes)
Inequivalent atoms, fractional coordinates:
Np (0.0000, 0.0000, 0.0000) x3
Np (0.0000, 0.0000, 0.5000) x3
Bi (0.0297, 0.7570, 0.2104) x18
O (0.0274, 0.8313, 0.3962) x18
O (0.0467, 0.8559, 0.8766) x18

Values from the calculation:
Uncorrected formation energy = -1.564 eV per atom
N(E_F) = 10.722 states/eV/f.u.
Crystal system = trigonal
Final energy = -7.00 eV per atom
Volume = 17.63 A^3/atom


# 19
The following is a PBE calculation of crystalline NpBiO at its relaxed geometry, from the Alexandria database.

Cell: 3.7639 3.7639 11.3314 Å, 90.00 90.00 120.00°
Space group P-3m1 (No. 164)
Inequivalent atoms, fractional coordinates:
Np (0.3333, 0.6667, 0.3662) x2
Bi (0.3333, 0.6667, 0.8787) x2
O (0.3333, 0.6667, 0.5761) x2

Values from the calculation:
Uncorrected formation energy = -1.419 eV per atom
N(E_F) = 6.353 states/eV/f.u.
Crystal system = trigonal
Relative energy among the computed polymorphs = 0.16 eV/f.u.
Final energy = -8.68 eV per atom
Volume = 23.17 A^3/atom


# 20
The following is a PBE calculation of crystalline NpBiO2 at its relaxed geometry, from the Alexandria database.

Cell: 4.2326 4.2326 16.4513 Å, 90.00 90.00 120.00°
Space group R-3m (No. 166, hexagonal axes)
Inequivalent atoms, fractional coordinates:
Np (0.0000, 0.0000, 0.0000) x3
Bi (0.0000, 0.0000, 0.5000) x3
O (0.0000, 0.0000, 0.1221) x6

Values from the calculation:
Uncorrected formation energy = -1.207 eV per atom
N(E_F) = 4.542 states/eV/f.u.
Crystal system = trigonal
Final energy = -7.89 eV per atom
Volume = 21.27 A^3/atom


# 21
The following is a PBE calculation of crystalline NpBiO at its relaxed geometry, from the Alexandria database.

Cell: 3.7772 3.7772 5.5634 Å, 90.00 90.00 120.00°
Space group P-6m2 (No. 187)
Inequivalent atoms, fractional coordinates:
Np (0.0000, 0.0000, 0.0000) x1
Bi (0.6667, 0.3333, 0.5000) x1
O (0.3333, 0.6667, 0.0000) x1

Values from the calculation:
Uncorrected formation energy = -1.471 eV per atom
N(E_F) = 7.664 states/eV/f.u.
Crystal system = hexagonal
Relative energy among the computed polymorphs = 0.00 eV/f.u.
Final energy = -8.73 eV per atom
Volume = 22.91 A^3/atom


# 22
The following is a PBE calculation of crystalline NpBi3O7 at its relaxed geometry, from the Alexandria database.

Cell: 8.031 11.174 7.910 Å, 90.00 90.00 90.00°
Space group C222_1 (No. 20)
Inequivalent atoms, fractional coordinates:
Np (0.001, 0.000, 0.000) x4
Bi (0.037, 0.500, 0.500) x4
Bi (0.235, 0.242, 0.744) x8
O (0.000, 0.076, 0.750) x4
O (0.000, 0.360, 0.750) x4
O (0.000, 0.372, 0.250) x4
O (0.179, 0.130, 0.447) x8
O (0.212, 0.119, 0.039) x8

Values from the calculation:
Uncorrected formation energy = -1.757 eV per atom
N(E_F) = 6.217 states/eV/f.u.
Crystal system = orthorhombic
Final energy = -7.15 eV per atom
Volume = 16.13 A^3/atom


# 23
The following is a PBE calculation of crystalline NpBiO6 at its relaxed geometry, from the Alexandria database.

Cell: 5.512 10.177 5.550 Å, 90.00 105.84 90.00°
Space group C2/m (No. 12)
Inequivalent atoms, fractional coordinates:
Np (0.000, 0.000, 0.000) x2
Bi (0.000, 0.500, 0.500) x2
O (0.105, 0.000, 0.611) x4
O (0.245, 0.128, 0.169) x8

Values from the calculation:
Uncorrected formation energy = -1.591 eV per atom
Crystal system = monoclinic
Final energy = -7.41 eV per atom
Volume = 18.72 A^3/atom


# 24
The following is a PBE calculation of crystalline NpBi2O6 at its relaxed geometry, from the Alexandria database.

Cell: 5.238 5.238 10.750 Å, 90.00 90.00 90.00°
Space group P4_2/mnm (No. 136)
Inequivalent atoms, fractional coordinates:
Np (0.000, 0.000, 0.000) x2
Bi (0.000, 0.000, 0.340) x4
O (0.183, 0.183, 0.142) x8
O (0.202, 0.202, 0.500) x4

Values from the calculation:
Uncorrected formation energy = -1.944 eV per atom
Crystal system = tetragonal
Final energy = -7.55 eV per atom
Volume = 16.39 A^3/atom